A relaxed CaBe2Ru2 crystal, computed with PBEsol.

Properties
symmetry: I4/mmm (139)
total magnetization: 0.0 μB per formula unit
N(E_F): 0.951 states/eV/atom
raw total energy: -5.969 eV per atom
crystal system: tetragonal
energy relative to the elements: 0.126 eV/atom

Cell: 4.1185 4.1185 8.6031 Å, 90.00 90.00 90.00°
Last column: nearest neighbours and their distance in Å.
Positions (direct):
Ca1 0.0000 0.0000 0.0000  8 Be 2.98, 10 Ru 3.11-3.15
Ca2 0.5000 0.5000 0.5000  8 Be 2.98, 10 Ru 3.11-3.15
Be1 0.0000 0.5000 0.2500  4 Ru 2.27
Be2 0.0000 0.5000 0.7500  4 Ru 2.27
Be3 0.5000 0.0000 0.2500  4 Ru 2.27
Be4 0.5000 0.0000 0.7500  4 Ru 2.27
Ru1 0.0000 0.0000 0.3618  4 Be 2.27, 1 Ru 2.38
Ru2 0.0000 0.0000 0.6382  4 Be 2.27, 1 Ru 2.38
Ru3 0.5000 0.5000 0.1382  4 Be 2.27, 1 Ru 2.38
Ru4 0.5000 0.5000 0.8618  4 Be 2.27, 1 Ru 2.38